Record 1
Here is crystalline Sr2InSn3Pd4 at its relaxed geometry from the Alexandria database. Energies are from PBE.

Volume (Å³ per cell): 238.6
Fermi-level density of states (states/eV/cell): 5.3
Energy (eV for the cell shown): -45.897
Symmetry: No. 115

Cell and atoms, written as POSCAR:
```
Sr2InSn3Pd4
1.0
4.751 0.000 0.000
0.000 4.751 0.000
0.000 0.000 10.570
Sr In Sn Pd
2 1 3 4
Direct
0.000 0.500 0.242
0.500 0.000 0.758
0.000 0.000 0.500
0.000 0.500 0.881
0.500 0.000 0.119
0.500 0.500 0.500
0.000 0.000 0.000
0.000 0.500 0.630
0.500 0.000 0.370
0.500 0.500 0.000
```

=====

Record 2
Here is crystalline Sr2In2Sn4Pd at its relaxed geometry from the Alexandria database. Energies are from PBE.

Volume (Å³ per cell): 249.7
Fermi-level density of states (states/eV/cell): 3.8
Energy (eV for the cell shown): -33.906
Symmetry: No. 139

Cell and atoms, written as POSCAR:
```
Sr2In2Sn4Pd
1.0
-3.601 3.601 4.813
3.601 -3.601 4.813
3.601 3.601 -4.813
Sr In Sn Pd
2 2 4 1
Direct
0.250 0.750 0.500
0.750 0.250 0.500
0.217 0.217 0.000
0.783 0.783 0.000
0.230 0.230 0.460
0.230 0.770 0.000
0.770 0.230 0.000
0.770 0.770 0.540
0.500 0.500 0.000
```

=====

Record 3
Here is crystalline Ti2InSnPd at its relaxed geometry from the Alexandria database. Energies are from PBE.

Volume (Å³ per cell): 118.0
Fermi-level density of states (states/eV/cell): 3.8
Energy (eV for the cell shown): -26.060
Symmetry: No. 123

Cell and atoms, written as POSCAR:
```
Ti2InSnPd
1.0
4.886 0.000 0.000
0.000 4.886 0.000
0.000 0.000 4.944
Ti In Sn Pd
2 1 1 1
Direct
0.000 0.500 0.000
0.500 0.000 0.000
0.000 0.000 0.500
0.500 0.500 0.500
0.500 0.500 0.000
```

=====

Record 4
Here is crystalline TlIn2SnPd at its relaxed geometry from the Alexandria database. Energies are from PBE.

Volume (Å³ per cell): 144.1
Fermi-level density of states (states/eV/cell): 3.1
Energy (eV for the cell shown): -17.335
Symmetry: No. 123

Cell and atoms, written as POSCAR:
```
TlIn2SnPd
1.0
5.210 0.000 0.000
0.000 5.210 0.000
0.000 0.000 5.309
Tl In Sn Pd
1 2 1 1
Direct
0.000 0.000 0.000
0.000 0.500 0.500
0.500 0.000 0.500
0.500 0.500 0.000
0.500 0.500 0.500
```

=====

no.,energy relative to the elements (eV/atom)
1,-0.70
2,-0.43
3,0.33
4,-0.06